Computed, not measured: Cr2AsOsF at its PBEsol-relaxed geometry at the SCAN level of DFT.

POSCAR file:
```
Cr2AsOsF
1.0
3.786 0.000 0.000
0.000 3.786 0.000
0.000 0.000 4.622
Cr As Os F
2 1 1 1
direct
0.000 0.500 0.000 Cr
0.500 0.000 0.000 Cr
0.000 0.000 0.500 As
0.500 0.500 0.500 Os
0.000 0.000 0.000 F
```

Results
Calculated volume = 66.2 Å³/cell
Space-group type = No. 123
Uncorrected formation energy = 236 meV/atom
VASP energy = -131.20 eV/cell

Computed, not measured: CrFeAs4 at its PBEsol-relaxed geometry at the SCAN level of DFT.

POSCAR file:
```
CrFeAs4
1.0
5.375 0.000 0.000
0.000 2.854 0.000
-0.009 0.000 6.069
Cr Fe As
1 1 4
direct
0.000 0.000 0.000 Cr
0.500 0.500 0.500 Fe
0.184 0.000 0.370 As
0.332 0.500 0.855 As
0.668 0.500 0.145 As
0.816 0.000 0.630 As
```

Results
Calculated volume = 93.1 Å³/cell
Space-group type = No. 10
E_form = -0.245 eV/atom
VASP energy = -118.74 eV/cell

Computed, not measured: CrFe3As at its PBEsol-relaxed geometry at the SCAN level of DFT.

POSCAR file:
```
CrFe3As
1.0
4.169 0.000 0.000
0.000 4.169 0.000
0.000 0.000 4.169
Cr Fe As
1 3 1
direct
0.000 0.000 0.000 Cr
0.000 0.000 0.500 Fe
0.000 0.500 0.000 Fe
0.500 0.000 0.000 Fe
0.500 0.500 0.500 As
```

Results
Calculated volume = 72.5 Å³/cell
Space-group type = No. 221
E_form = 1.238 eV/atom
VASP energy = -86.77 eV/cell

Computed, not measured: CrFe2As6 at its PBEsol-relaxed geometry at the SCAN level of DFT.

POSCAR file:
```
CrFe2As6
1.0
5.323 0.000 0.000
0.000 2.851 0.000
-0.039 0.000 18.065
Cr Fe As
2 4 12
direct
0.000 0.000 0.168 Cr
0.000 0.000 0.832 Cr
0.000 0.000 0.500 Fe
0.496 0.500 0.338 Fe
0.500 0.500 0.000 Fe
0.504 0.500 0.662 Fe
0.181 0.000 0.293 As
0.182 0.000 0.618 As
0.182 0.000 0.956 As
0.319 0.500 0.455 As
0.332 0.500 0.120 As
0.332 0.500 0.782 As
0.668 0.500 0.218 As
0.668 0.500 0.880 As
0.681 0.500 0.545 As
0.818 0.000 0.044 As
0.818 0.000 0.382 As
0.819 0.000 0.707 As
```

Results
Calculated volume = 274.2 Å³/cell
Space-group type = No. 10
E_form = -0.242 eV/atom
VASP energy = -355.93 eV/cell

Computed, not measured: CrFe3As at its PBEsol-relaxed geometry at the SCAN level of DFT.

POSCAR file:
```
CrFe3As
1.0
4.292 0.000 0.000
0.000 4.292 0.000
0.000 0.000 4.292
Cr Fe As
1 3 1
direct
0.000 0.000 0.000 Cr
0.000 0.500 0.500 Fe
0.500 0.000 0.500 Fe
0.500 0.500 0.000 Fe
0.500 0.500 0.500 As
```

Results
Calculated volume = 79.1 Å³/cell
Space-group type = No. 221
E_form = 0.846 eV/atom
VASP energy = -88.73 eV/cell

Computed, not measured: Cr2FeAs at its PBEsol-relaxed geometry at the SCAN level of DFT.

POSCAR file:
```
Cr2FeAs
1.0
2.941 0.000 0.000
0.000 2.941 0.000
0.000 0.000 5.363
Cr Fe As
2 1 1
direct
0.000 0.000 0.000 Cr
0.500 0.500 0.218 Cr
0.000 0.000 0.498 Fe
0.500 0.500 0.723 As
```

Results
Calculated volume = 46.4 Å³/cell
Space-group type = No. 99
E_form = 0.087 eV/atom
VASP energy = -74.74 eV/cell